Entry from Alexandria via LeMat-Bulk: a crystal of Ba2ZrTc relaxed with PBEsol (SCAN).

Energy of formation from the pure elements = 1.034 eV/atom
Uncorrected energy = -35.180 eV per atom
Space group = P4/mmm

POSCAR file:
```
Ba2ZrTc
1.0
-2.080 -2.520 -2.841
3.625 -0.352 -2.342
1.469 -4.546 2.958
Ba Zr Tc
2 1 1
direct
0.500 0.000 0.000
0.000 0.500 0.000
0.000 0.000 0.500
0.500 0.500 0.500
```